Here is NbZn3Re after structural relaxation from Alexandria via LeMat-Bulk. Energies are from PBE-GGA.

POSCAR file:
```
NbZn3Re
1.0
4.709 0.000 0.000
0.000 4.709 0.000
0.000 0.000 4.709
Zn Nb Re
3 1 1
Cartesian
0.000 0.000 2.355
0.000 2.355 0.000
2.355 0.000 0.000
2.355 2.355 2.355
0.000 0.000 0.000
```

Summary:
DFT formation energy in meV per atom: 1259.6
Total DFT energy (no corrections) in eV/atom: -4.008
Symmetry: Pm-3m (221)
Magnetization in μB per formula unit: 1.98